# PBE-GGA PPd8Se2, relaxed
# - Size of the total moment: 0.00 μB per formula unit
# - Crystal system: monoclinic
# - V: 192.7 Å³/f.u.
# - Energy relative to the lowest polymorph listed for this composition: 40.6 meV per atom
data_PPd8Se2
_cell_length_a 7.4516
_cell_length_b 7.7239
_cell_length_c 7.6103
_cell_angle_alpha 90.00
_cell_angle_beta 118.39
_cell_angle_gamma 90.00
_symmetry_space_group_name_H-M 'C 1 2/m 1'
_symmetry_Int_Tables_number 12
_symmetry_space_group_name_Hall '-C 2y'
loop_
_atom_site_label
_atom_site_fract_x
_atom_site_fract_y
_atom_site_fract_z
P1 0.0000 0.0000 0.0000
Pd1 0.0397 0.0000 0.6977
Pd2 0.1467 0.5000 0.9240
Pd3 0.1710 0.2413 0.2051
Se1 0.1777 0.5000 0.4127



# PBE-GGA Ir5Ru4, relaxed
# - Size of the total moment: 0.00 μB per formula unit
# - Crystal system: hexagonal
# - V: 131.8 Å³/f.u.
# - Energy relative to the lowest polymorph listed for this composition: 285.6 meV per atom
# - Energy relative to the elements: 268 meV/atom
data_Ir5Ru4
_cell_length_a 7.5177
_cell_length_b 7.5177
_cell_length_c 5.3837
_cell_angle_alpha 90.00
_cell_angle_beta 90.00
_cell_angle_gamma 120.00
_symmetry_space_group_name_H-M 'P 63/m c m'
_symmetry_Int_Tables_number 193
_symmetry_space_group_name_Hall '-P 6c 2'
loop_
_atom_site_label
_atom_site_fract_x
_atom_site_fract_y
_atom_site_fract_z
Ir1 0.0000 0.3315 0.2500
Ir2 0.3333 0.6667 0.0000
Ru1 0.0000 0.0000 0.0000
Ru2 0.0000 0.3324 0.7500



# PBE-GGA Nd2GdAl, relaxed
# - Size of the total moment: 7.47 μB per formula unit
# - Crystal system: tetragonal
# - V: 120.0 Å³/f.u.
# - Energy relative to the lowest polymorph listed for this composition: 38.7 meV per atom
# - Energy relative to the elements: -142 meV/atom
data_Nd2GdAl
_cell_length_a 3.6023
_cell_length_b 3.6023
_cell_length_c 9.2512
_cell_angle_alpha 90.00
_cell_angle_beta 90.00
_cell_angle_gamma 90.00
_symmetry_space_group_name_H-M 'P 4/m m m'
_symmetry_Int_Tables_number 123
_symmetry_space_group_name_Hall '-P 4 2'
loop_
_atom_site_label
_atom_site_fract_x
_atom_site_fract_y
_atom_site_fract_z
Nd1 0.0000 0.0000 0.2142
Gd1 0.5000 0.5000 0.5000
Al1 0.5000 0.5000 0.0000



# PBE-GGA CoNiP2, relaxed
# - Size of the total moment: 0.00 μB per formula unit
# - Crystal system: orthorhombic
# - V: 45.9 Å³/f.u.
# - Energy relative to the lowest polymorph listed for this composition: 303.1 meV per atom
# - Energy relative to the elements: -41 meV/atom
data_CoNiP2
_cell_length_a 2.7864
_cell_length_b 2.9231
_cell_length_c 5.6386
_cell_angle_alpha 90.00
_cell_angle_beta 90.00
_cell_angle_gamma 90.00
_symmetry_space_group_name_H-M 'P m m m'
_symmetry_Int_Tables_number 47
_symmetry_space_group_name_Hall '-P 2 2'
loop_
_atom_site_label
_atom_site_fract_x
_atom_site_fract_y
_atom_site_fract_z
Co1 0.0000 0.0000 0.0000
Ni1 0.0000 0.0000 0.5000
P1 0.5000 0.5000 0.2408